Record 1
The following is a DFT calculation (PBE) of a relaxed LaAl3Pd crystal.

abc: 6.2148 6.2148 6.2148
angles: 138.89 138.89 59.55
With the nearest neighbours (Å) after each atom.
Sites, in units of the cell vectors:
1 Al 0.6008 0.6008 0.0000  1 Pd 2.50, 4 Al 2.74
2 Al 0.9477 0.4477 0.5000  2 Pd 2.51, 2 Al 2.74
3 Al 0.4477 0.9477 0.5000  2 Pd 2.51, 2 Al 2.74
4 La 0.1906 0.1906 0.0000  12 Al 3.23-3.53, 4 Pd 3.44
5 Pd 0.8324 0.8324 0.0000  5 Al 2.50-2.51

SG: I4mm (107)
E_tot: -24.93 eV/f.u.

***

Record 2
The following is a DFT calculation (PBE) of a relaxed LaAl2Pd2 crystal.

abc: 4.4371 4.4371 10.0477
angles: 90.00 90.00 90.00
With the nearest neighbours (Å) after each atom.
Sites, in units of the cell vectors:
1 La 0.5000 0.0000 0.7521  8 Pd 3.34-3.38, 9 Al 3.37-3.72
2 Al 0.0000 0.0000 0.5000  4 Pd 2.56
3 La 0.0000 0.5000 0.2479  8 Pd 3.34-3.38, 9 Al 3.37-3.72
4 Al 0.5000 0.5000 0.5000  4 Pd 2.56
5 Pd 0.0000 0.0000 0.0000  4 Al 2.54
6 Al 0.5000 0.0000 0.1228  5 Pd 2.50-2.54
7 Al 0.0000 0.5000 0.8772  5 Pd 2.50-2.54
8 Pd 0.5000 0.0000 0.3720  5 Al 2.50-2.56
9 Pd 0.5000 0.5000 0.0000  4 Al 2.54
10 Pd 0.0000 0.5000 0.6280  5 Al 2.50-2.56

SG: P4/nmm (129)
energy above the lowest structure with this stoichiometry: 0.00 eV per formula unit
E_tot: -27.14 eV/f.u.

***

Record 3
The following is a DFT calculation (PBE) of a relaxed LaAl2Pd2 crystal.

abc: 6.4809 6.4809 6.4809
angles: 143.06 143.06 53.24
With the nearest neighbours (Å) after each atom.
Sites, in units of the cell vectors:
1 Pd 0.6194 0.6194 0.0000  4 Al 2.55, 1 Pd 2.77
2 La 0.0000 0.0000 0.0000  8 Pd 3.22, 8 Al 3.55
3 Al 0.2500 0.7500 0.5000  4 Pd 2.55
4 Pd 0.3806 0.3806 0.0000  4 Al 2.55, 1 Pd 2.77
5 Al 0.7500 0.2500 0.5000  4 Pd 2.55

SG: I4/mmm (139)
energy above the lowest structure with this stoichiometry: 0.18 eV per formula unit
E_tot: -26.96 eV/f.u.

***

Record 4
The following is a DFT calculation (PBE) of a relaxed LaPrAl2Pd4 crystal.

abc: 4.4280 4.4280 9.6391
angles: 90.00 90.00 120.00
With the nearest neighbours (Å) after each atom.
Sites, in units of the cell vectors:
1 Pd 0.3333 0.6667 0.1791  3 Al 2.64, 3 Pd 2.89
2 Pd 0.3333 0.6667 0.8209  3 Al 2.64, 3 Pd 2.89
3 La 0.3333 0.6667 0.5000  8 Pd 3.09
4 Pr 0.0000 0.0000 0.0000  8 Pd 3.08
5 Al 0.6667 0.3333 0.7536  6 Pd 2.64-2.65
6 Al 0.6667 0.3333 0.2464  6 Pd 2.64-2.65
7 Pd 0.0000 0.0000 0.3198  3 Al 2.65, 3 Pd 2.89
8 Pd 0.0000 0.0000 0.6802  3 Al 2.65, 3 Pd 2.89

SG: P-6m2 (187)
E_tot: -44.94 eV/f.u.

***

Record 5
The following is a DFT calculation (PBE) of a relaxed LaAl2PdPt crystal.

abc: 4.4273 4.4273 10.0870
angles: 90.00 90.00 90.00
With the nearest neighbours (Å) after each atom.
Sites, in units of the cell vectors:
1 Al 0.0000 0.5000 0.8771  1 Pt 2.49, 4 Pd 2.54
2 Al 0.5000 0.0000 0.1229  1 Pt 2.49, 4 Pd 2.54
3 La 0.5000 0.0000 0.7508  4 Pd 3.35, 4 Pt 3.36, 8 Al 3.36-3.38
4 Pt 0.5000 0.0000 0.3699  5 Al 2.49-2.57
5 Al 0.0000 0.0000 0.5000  4 Pt 2.57
6 Al 0.5000 0.5000 0.5000  4 Pt 2.57
7 Pd 0.5000 0.5000 0.0000  4 Al 2.54
8 Pt 0.0000 0.5000 0.6301  5 Al 2.49-2.57
9 La 0.0000 0.5000 0.2492  4 Pd 3.35, 4 Pt 3.36, 8 Al 3.36-3.38
10 Pd 0.0000 0.0000 0.0000  4 Al 2.54

SG: P4/nmm (129)
E_tot: -28.80 eV/f.u.

***

Record 6
The following is a DFT calculation (PBE) of a relaxed La2Al2PdPt3 crystal.

abc: 4.4007 4.4007 9.9732
angles: 90.00 90.00 120.00
With the nearest neighbours (Å) after each atom.
Sites, in units of the cell vectors:
1 La 0.0000 0.0000 0.2510  7 Pt 3.12-3.20, 1 Pd 3.22
2 Al 0.3333 0.6667 0.0065  3 Pt 2.60, 3 Pd 2.66
3 Pt 0.6667 0.3333 0.0616  3 Al 2.60, 3 Pd 2.87
4 Pt 0.0000 0.0000 0.5722  3 Al 2.64, 3 Pt 2.89
5 Pd 0.0000 0.0000 0.9284  3 Al 2.66, 3 Pt 2.87
6 La 0.6667 0.3333 0.7472  5 Pt 3.08-3.14, 3 Pd 3.12
7 Pt 0.6667 0.3333 0.4331  3 Al 2.63, 3 Pt 2.89
8 Al 0.3333 0.6667 0.5000  6 Pt 2.63-2.64

SG: P3m1 (156)
E_tot: -49.31 eV/f.u.

***

Record 7
The following is a DFT calculation (PBE) of a relaxed LaAlSbPd2 crystal.

abc: 4.5130 4.5130 10.4470
angles: 90.00 90.00 90.00
With the nearest neighbours (Å) after each atom.
Sites, in units of the cell vectors:
1 Pd 0.5000 0.0000 0.6075  4 Al 2.52, 1 Sb 2.60
2 Sb 0.0000 0.5000 0.1433  5 Pd 2.60-2.71
3 Sb 0.5000 0.0000 0.8567  5 Pd 2.60-2.71
4 Pd 0.0000 0.0000 0.0000  4 Sb 2.71
5 Pd 0.0000 0.5000 0.3925  4 Al 2.52, 1 Sb 2.60
6 Pd 0.5000 0.5000 0.0000  4 Sb 2.71
7 Al 0.0000 0.0000 0.5000  4 Pd 2.52
8 Al 0.5000 0.5000 0.5000  4 Pd 2.52
9 La 0.0000 0.5000 0.7542  4 Sb 3.37, 8 Pd 3.42-3.54, 4 Al 3.48
10 La 0.5000 0.0000 0.2458  4 Sb 3.37, 8 Pd 3.42-3.54, 4 Al 3.48

SG: P4/nmm (129)
energy above the lowest structure with this stoichiometry: 0.00 eV per formula unit
E_tot: -27.85 eV/f.u.

***

Record 8
The following is a DFT calculation (PBE) of a relaxed LaAlSbPd2 crystal.

abc: 4.6350 4.6350 10.0180
angles: 90.00 90.00 90.00
With the nearest neighbours (Å) after each atom.
Sites, in units of the cell vectors:
1 Al 0.5000 0.0000 0.8938  5 Pd 2.47-2.55
2 Al 0.0000 0.5000 0.1062  5 Pd 2.47-2.55
3 Sb 0.5000 0.5000 0.5000  4 Pd 2.75
4 La 0.5000 0.0000 0.2403  8 Pd 3.34-3.47, 5 Al 3.47-3.54, 4 Sb 3.48
5 Pd 0.0000 0.5000 0.3530  1 Al 2.47, 4 Sb 2.75
6 La 0.0000 0.5000 0.7597  8 Pd 3.34-3.47, 5 Al 3.47-3.54, 4 Sb 3.48
7 Pd 0.5000 0.0000 0.6470  1 Al 2.47, 4 Sb 2.75
8 Pd 0.0000 0.0000 0.0000  4 Al 2.55
9 Sb 0.0000 0.0000 0.5000  4 Pd 2.75
10 Pd 0.5000 0.5000 0.0000  4 Al 2.55

SG: P4/nmm (129)
energy above the lowest structure with this stoichiometry: 0.52 eV per formula unit
E_tot: -27.33 eV/f.u.

***

Record 9
The following is a DFT calculation (PBE) of a relaxed LaPmAl crystal.

abc: 5.1087 5.1087 5.1087
angles: 60.00 60.00 60.00
With the nearest neighbours (Å) after each atom.
Sites, in units of the cell vectors:
1 Pm 0.0000 0.0000 0.0000  4 La 3.13, 4 Al 3.13
2 La 0.7500 0.7500 0.7500  4 Pm 3.13
3 Al 0.2500 0.2500 0.2500  4 Pm 3.13

SG: F-43m (216)
energy above the lowest structure with this stoichiometry: 0.00 eV per formula unit
E_tot: -12.38 eV/f.u.

***

Record 10
The following is a DFT calculation (PBE) of a relaxed LaPrAl2Pt4 crystal.

abc: 4.3966 4.3966 9.8828
angles: 90.00 90.00 120.00
With the nearest neighbours (Å) after each atom.
Sites, in units of the cell vectors:
1 Pt 0.0000 0.0000 0.8204  3 Al 2.62, 3 Pt 2.88
2 Pt 0.6667 0.3333 0.3178  3 Al 2.63, 3 Pt 2.88
3 Al 0.3333 0.6667 0.2469  6 Pt 2.62-2.63
4 Pr 0.6667 0.3333 0.0000  8 Pt 3.10-3.14
5 Pt 0.6667 0.3333 0.6822  3 Al 2.63, 3 Pt 2.88
6 Pt 0.0000 0.0000 0.1796  3 Al 2.62, 3 Pt 2.88
7 Al 0.3333 0.6667 0.7531  6 Pt 2.62-2.63
8 La 0.0000 0.0000 0.5000  8 Pt 3.11-3.17

SG: P-6m2 (187)
E_tot: -50.27 eV/f.u.

***

Record 11
The following is a DFT calculation (PBE) of a relaxed LaAlPt crystal.

abc: 7.2866 4.5546 7.9034
angles: 90.00 90.00 90.00
With the nearest neighbours (Å) after each atom.
Sites, in units of the cell vectors:
1 Pt 0.7859 0.7500 0.1113  4 Al 2.64-2.73
2 Pt 0.2859 0.7500 0.3887  4 Al 2.64-2.73
3 Al 0.6448 0.7500 0.4319  4 Pt 2.64-2.73
4 La 0.5331 0.7500 0.8188  5 Pt 2.96-3.30, 3 Al 3.16-3.28
5 La 0.9669 0.2500 0.3188  5 Pt 2.96-3.30, 3 Al 3.16-3.28
6 Al 0.8552 0.2500 0.9319  4 Pt 2.64-2.73
7 La 0.4669 0.2500 0.1812  5 Pt 2.96-3.30, 3 Al 3.16-3.28
8 Pt 0.2141 0.2500 0.8887  4 Al 2.64-2.73
9 La 0.0331 0.7500 0.6812  5 Pt 2.96-3.30, 3 Al 3.16-3.28
10 Pt 0.7141 0.2500 0.6113  4 Al 2.64-2.73
11 Al 0.1448 0.7500 0.0681  4 Pt 2.64-2.73
12 Al 0.3552 0.2500 0.5681  4 Pt 2.64-2.73

SG: Pnma (62)
E_tot: -17.92 eV/f.u.

***

Record 12
The following is a DFT calculation (PBE) of a relaxed LaAlPt crystal.

abc: 4.7533 4.7533 4.7533
angles: 60.00 60.00 60.00
With the nearest neighbours (Å) after each atom.
Sites, in units of the cell vectors:
1 La 0.7500 0.7500 0.7500  4 Pt 2.91
2 Pt 0.0000 0.0000 0.0000  4 La 2.91, 4 Al 2.91
3 Al 0.2500 0.2500 0.2500  4 Pt 2.91

SG: F-43m (216)
E_tot: -17.01 eV/f.u.